## InSb2As (GGA-PBE)

Data for crystalline InSb2As at its relaxed geometry.

a = 3.8441 Å, b = 5.2759 Å, c = 6.7224 Å
α = 47.81°, β = 90.00°, γ = 90.00°
Closest atoms and distances in Å follow each position.
Positions (direct):
Sb  0.0000  0.0000  0.0000  4 As 3.17, 4 Sb 3.26, 2 In 3.36
Sb  0.5000  0.5000  0.0000  4 In 3.17, 4 Sb 3.26, 2 As 3.36
As  0.5000  0.5000  0.5000  6 Sb 3.17-3.36, 4 In 3.26
In  0.0000  0.0000  0.5000  6 Sb 3.17-3.36, 4 As 3.26

Properties
The calculation puts the uncorrected formation energy at 0.910 eV/f.u. As for the space-group type: P2/m. The polymorph energy (0 for the lowest one) is 0.1971 eV/atom. The uncorrected energy is -3.68 eV per atom.